Entry from Alexandria: a relaxed DySc5Zn6 crystal (PBE). Values from VASP.

The structure in Quantum ESPRESSO input format:
```
&SYSTEM
  ibrav = 0, nat = 12, ntyp = 3
/
ATOMIC_SPECIES
Dy 162.50 Dy.upf
Sc 44.96 Sc.upf
Zn 65.41 Zn.upf
CELL_PARAMETERS angstrom
-2.388 3.409 7.170
2.388 -3.409 7.170
2.388 3.409 -7.170
ATOMIC_POSITIONS crystal
Dy 0.000 0.000 0.000
Sc 0.165 0.665 0.500
Sc 0.332 0.332 0.000
Sc 0.500 0.000 0.500
Sc 0.668 0.668 0.000
Sc 0.835 0.335 0.500
Zn 0.088 0.829 0.259
Zn 0.267 0.500 0.767
Zn 0.429 0.171 0.259
Zn 0.571 0.829 0.741
Zn 0.733 0.500 0.233
Zn 0.912 0.171 0.741
```

Calculated total energy   -48.21 eV per formula unit
ΔH_f (0 K)   -359 meV/atom
Symmetry   Immm


Entry from Alexandria: a relaxed LaCePmSe3 crystal (PBE). Values from VASP.

The structure in Quantum ESPRESSO input format:
```
&SYSTEM
  ibrav = 0, nat = 12, ntyp = 4
/
ATOMIC_SPECIES
La 138.91 La.upf
Ce 140.12 Ce.upf
Pm 145.00 Pm.upf
Se 78.96 Se.upf
CELL_PARAMETERS angstrom
8.217 0.000 0.000
0.000 4.184 0.000
-2.451 0.000 10.251
ATOMIC_POSITIONS crystal
La 0.185 0.250 0.205
La 0.815 0.750 0.795
Ce 0.174 0.250 0.618
Ce 0.826 0.750 0.382
Pm 0.340 0.750 0.901
Pm 0.660 0.250 0.099
Se 0.089 0.250 0.889
Se 0.204 0.750 0.429
Se 0.464 0.750 0.192
Se 0.536 0.250 0.808
Se 0.796 0.250 0.571
Se 0.911 0.750 0.111
```

Formation energy from raw total energies   -9.974 eV per formula unit
Calculated total energy   -36.04 eV per formula unit
Symmetry   P2_1/m


Entry from Alexandria: a relaxed GdThNiAg crystal (PBE). Values from VASP.

The structure in Quantum ESPRESSO input format:
```
&SYSTEM
  ibrav = 0, nat = 4, ntyp = 4
/
ATOMIC_SPECIES
Gd 157.25 Gd.upf
Th 232.04 Th.upf
Ni 58.69 Ni.upf
Ag 107.87 Ag.upf
CELL_PARAMETERS angstrom
0.000 3.600 3.600
3.600 0.000 3.600
3.600 3.600 0.000
ATOMIC_POSITIONS crystal
Gd 0.000 0.000 0.000
Th 0.500 0.500 0.500
Ni 0.250 0.250 0.250
Ag 0.750 0.750 0.750
```

Calculated total energy   -30.80 eV per formula unit
ΔH_f (0 K)   -167 meV/atom
Symmetry   F-43m